Entry 1:
Au3Se5I12 PBE relaxed; ΔE_f (raw) = 0.474 eV/atom; volume = 2944 Å³ per cell; M_tot = 0.00 μB per formula unit; crystal system = cubic
1.0
-9.0285 9.0285 9.0285
9.0285 -9.0285 9.0285
9.0285 9.0285 -9.0285
Au Se I
12 20 48
Direct
0.1250 0.2500 0.3750
0.1250 0.3750 0.7500
0.2500 0.3750 0.1250
0.2500 0.8750 0.6250
0.3750 0.1250 0.2500
0.3750 0.7500 0.1250
0.6250 0.2500 0.8750
0.6250 0.8750 0.7500
0.7500 0.1250 0.3750
0.7500 0.6250 0.8750
0.8750 0.6250 0.2500
0.8750 0.7500 0.6250
0.0000 0.0000 0.0000
0.0000 0.0000 0.5000
0.0000 0.5000 0.0000
0.0000 0.5000 0.5000
0.1250 0.7500 0.8750
0.1250 0.8750 0.2500
0.2500 0.1250 0.8750
0.2500 0.6250 0.3750
0.3750 0.2500 0.6250
0.3750 0.6250 0.7500
0.5000 0.0000 0.0000
0.5000 0.0000 0.5000
0.5000 0.5000 0.0000
0.5000 0.5000 0.5000
0.6250 0.3750 0.2500
0.6250 0.7500 0.3750
0.7500 0.3750 0.6250
0.7500 0.8750 0.1250
0.8750 0.1250 0.7500
0.8750 0.2500 0.1250
0.0493 0.2258 0.1145
0.0493 0.3234 0.9348
0.0652 0.6145 0.3886
0.0652 0.9507 0.6766
0.1114 0.7258 0.6766
0.1114 0.8855 0.4348
0.1145 0.0493 0.2258
0.1145 0.5652 0.8886
0.1766 0.2258 0.6114
0.1766 0.4507 0.5652
0.2258 0.1145 0.0493
0.2258 0.6114 0.1766
0.2742 0.3234 0.8886
0.2742 0.4507 0.3855
0.3234 0.8886 0.2742
0.3234 0.9348 0.0493
0.3855 0.2742 0.4507
0.3855 0.6114 0.9348
0.3886 0.0652 0.6145
0.3886 0.8234 0.7742
0.4348 0.1114 0.8855
0.4348 0.8234 0.5493
0.4507 0.3855 0.2742
0.4507 0.5652 0.1766
0.5493 0.4348 0.8234
0.5493 0.6145 0.7258
0.5652 0.1766 0.4507
0.5652 0.8886 0.1145
0.6114 0.1766 0.2258
0.6114 0.9348 0.3855
0.6145 0.3886 0.0652
0.6145 0.7258 0.5493
0.6766 0.0652 0.9507
0.6766 0.1114 0.7258
0.7258 0.5493 0.6145
0.7258 0.6766 0.1114
0.7742 0.3886 0.8234
0.7742 0.8855 0.9507
0.8234 0.5493 0.4348
0.8234 0.7742 0.3886
0.8855 0.4348 0.1114
0.8855 0.9507 0.7742
0.8886 0.1145 0.5652
0.8886 0.2742 0.3234
0.9348 0.0493 0.3234
0.9348 0.3855 0.6114
0.9507 0.6766 0.0652
0.9507 0.7742 0.8855

***

Entry 2:
AuSeI4 PBE relaxed; ΔE_f (raw) = 0.087 eV/atom; volume = 558 Å³ per cell; M_tot = 0.00 μB per formula unit; crystal system = monoclinic
1.0
3.8663 -9.6217 0.0000
3.8663 9.6217 0.0000
-0.6617 0.0000 7.5034
Au Se I
2 2 8
Direct
0.1679 0.8321 0.7500
0.8321 0.1679 0.2500
0.4431 0.5569 0.2500
0.5569 0.4431 0.7500
0.1296 0.4830 0.4127
0.2181 0.3266 0.9477
0.3266 0.2181 0.4477
0.4830 0.1296 0.9127
0.5170 0.8704 0.0873
0.6734 0.7819 0.5523
0.7819 0.6734 0.0523
0.8704 0.5170 0.5873

***

Entry 3:
AuSe2I PBE relaxed; ΔE_f (raw) = 0.331 eV/atom; volume = 436 Å³ per cell; M_tot = 0.00 μB per formula unit; crystal system = tetragonal
1.0
7.4701 0.0000 0.0000
0.0000 7.4701 0.0000
0.0000 0.0000 7.8174
Au Se I
4 8 4
Direct
0.0000 0.0000 0.0000
0.0000 0.5000 0.2500
0.5000 0.0000 0.7500
0.5000 0.5000 0.5000
0.1996 0.2500 0.1250
0.2500 0.6996 0.3750
0.2500 0.8004 0.8750
0.3004 0.2500 0.6250
0.6996 0.7500 0.6250
0.7500 0.1996 0.8750
0.7500 0.3004 0.3750
0.8004 0.7500 0.1250
0.0000 0.0000 0.5000
0.0000 0.5000 0.7500
0.5000 0.0000 0.2500
0.5000 0.5000 0.0000